The following is a GGA+U calculation of a geometry-optimized Li2V3CrO8 structure, from the Alexandria database.

Values from the calculation:
SG = No. 4
Total moment = 7.0 μB per formula unit
Energy above the lowest structure with this stoichiometry = 1 meV/atom

a b c (Å): 8.491 8.325 8.515
angles (deg): 89.61 90.00 90.00
Sites, in units of the cell vectors:
Li (0.999, 0.252, 0.499)
Li (0.249, 0.499, 0.249)
Li (0.756, 0.998, 0.251)
Li (0.998, 0.751, 0.002)
Li (0.498, 0.249, 0.998)
Li (0.256, 0.002, 0.749)
Li (0.749, 0.501, 0.751)
Li (0.499, 0.748, 0.501)
V (0.126, 0.879, 0.376)
V (0.380, 0.119, 0.375)
V (0.623, 0.376, 0.377)
V (0.372, 0.873, 0.125)
V (0.628, 0.626, 0.125)
V (0.872, 0.375, 0.123)
V (0.372, 0.625, 0.877)
V (0.128, 0.374, 0.875)
V (0.872, 0.127, 0.875)
V (0.123, 0.624, 0.623)
V (0.880, 0.881, 0.625)
V (0.626, 0.121, 0.624)
Cr (0.876, 0.625, 0.376)
Cr (0.124, 0.123, 0.122)
Cr (0.624, 0.877, 0.878)
Cr (0.376, 0.375, 0.624)
O (0.115, 0.641, 0.388)
O (0.893, 0.865, 0.390)
O (0.619, 0.136, 0.390)
O (0.135, 0.105, 0.361)
O (0.398, 0.368, 0.385)
O (0.360, 0.876, 0.359)
O (0.638, 0.615, 0.362)
O (0.850, 0.382, 0.363)
O (0.140, 0.880, 0.140)
O (0.366, 0.102, 0.134)
O (0.624, 0.396, 0.139)
O (0.612, 0.857, 0.116)
O (0.858, 0.617, 0.139)
O (0.386, 0.642, 0.115)
O (0.114, 0.365, 0.107)
O (0.889, 0.136, 0.108)
O (0.389, 0.864, 0.892)
O (0.614, 0.635, 0.893)
O (0.886, 0.358, 0.885)
O (0.358, 0.383, 0.861)
O (0.112, 0.143, 0.884)
O (0.124, 0.604, 0.861)
O (0.866, 0.898, 0.866)
O (0.640, 0.120, 0.860)
O (0.350, 0.618, 0.637)
O (0.138, 0.385, 0.638)
O (0.860, 0.124, 0.641)
O (0.898, 0.632, 0.615)
O (0.635, 0.895, 0.639)
O (0.119, 0.864, 0.610)
O (0.393, 0.135, 0.610)
O (0.615, 0.359, 0.612)